No. 1
First-principles (GGA-PBE) data for Ho3Bi3C after structural relaxation, as listed in Alexandria via LeMat-Bulk.

a b c (Å): 7.2945 7.2945 7.7122
angles (deg): 95.09 95.09 101.37
Element x y z (fractional)
Ho: 0.0991 0.0991 0.8345
C: 0.1418 0.1418 0.1358
Bi: 0.3023 0.6977 0.0000
Ho: 0.5900 0.9106 0.7442
Ho: 0.4100 0.0894 0.2558
C: 0.8582 0.8582 0.8642
Bi: 0.4400 0.4400 0.6945
Ho: 0.0894 0.4100 0.2558
Bi: 0.1901 0.8099 0.5000
Bi: 0.6977 0.3023 0.0000
Bi: 0.8099 0.1901 0.5000
Bi: 0.5600 0.5600 0.3055
Ho: 0.9009 0.9009 0.1655
Ho: 0.9106 0.5900 0.7442

## Properties
The calculation puts the formation energy at -429 meV per atom. The value obtained for the electronic total energy is -37.6 eV/f.u.

***

No. 2
First-principles (GGA-PBE) data for TlHg2Ru after structural relaxation, as listed in Alexandria via LeMat-Bulk.

a b c (Å): 3.1499 3.1499 8.9919
angles (deg): 90.00 90.00 89.99
Element x y z (fractional)
Tl: 0.5000 0.5000 0.7500
Ru: 0.5000 0.5000 0.2500
Hg: 0.0000 0.0000 0.0498
Hg: 0.0000 0.0000 0.4502

## Properties
The calculation puts the formation energy at 444 meV per atom. For the distance to the lowest polymorph of the same formula, the calculation gives 103.7 meV/atom. The value obtained for the electronic total energy is -10.5 eV/f.u.

***

No. 3
First-principles (GGA-PBE) data for ScCd8Hg6 after structural relaxation, as listed in Alexandria via LeMat-Bulk.

a b c (Å): 7.8035 7.8035 7.8035
angles (deg): 63.30 63.30 63.30
Element x y z (fractional)
Sc: 0.0000 0.0000 0.0000
Cd: 0.7300 0.7298 0.1103
Cd: 0.4212 0.4212 0.4212
Hg: 0.1612 0.5490 0.1617
Cd: 0.2702 0.8897 0.2700
Cd: 0.7298 0.1103 0.7300
Hg: 0.8388 0.4510 0.8383
Hg: 0.5490 0.1617 0.1612
Cd: 0.8897 0.2700 0.2702
Cd: 0.5788 0.5788 0.5788
Hg: 0.8383 0.8388 0.4510
Cd: 0.2700 0.2702 0.8897
Hg: 0.1617 0.1612 0.5490
Cd: 0.1103 0.7300 0.7298
Hg: 0.4510 0.8383 0.8388

## Properties
The calculation puts the formation energy at -21 meV per atom. For the distance to the lowest polymorph of the same formula, the calculation gives 0.0 meV/atom. The value obtained for the electronic total energy is -15.8 eV/f.u.

***

No. 4
First-principles (GGA-PBE) data for Hf2Al3Ga after structural relaxation, as listed in Alexandria via LeMat-Bulk.

a b c (Å): 5.4192 5.4192 8.8181
angles (deg): 114.20 114.20 70.48
Element x y z (fractional)
Al: 0.1669 0.1669 0.3338
Al: 0.3343 0.3343 0.1676
Hf: 0.2494 0.7506 0.0000
Ga: 0.3329 0.3329 0.6658
Al: 0.1667 0.1667 0.8324
Hf: 0.7500 0.2500 0.5000
Al: 0.8333 0.8333 0.1676
Al: 0.6657 0.6657 0.8324
Ga: 0.6671 0.6671 0.3342
Al: 0.8331 0.8331 0.6662
Hf: 0.2500 0.7500 0.5000
Hf: 0.7506 0.2494 0.0000

## Properties
The calculation puts the formation energy at -337 meV per atom. For the distance to the lowest polymorph of the same formula, the calculation gives 101.3 meV/atom. The value obtained for the electronic total energy is -36.2 eV/f.u.

***

No. 5
First-principles (GGA-PBE) data for VTeAs2Se after structural relaxation, as listed in Alexandria via LeMat-Bulk.

a b c (Å): 4.9304 4.9304 4.6279
angles (deg): 90.00 90.00 90.00
Element x y z (fractional)
Se: 0.0000 0.0000 0.5000
V: 0.0000 0.0000 0.0000
Te: 0.5000 0.5000 0.5000
As: 0.0000 0.5000 0.0000
As: 0.5000 0.0000 0.0000

## Properties
Its raw formation energy is 0.20 eV/atom. For the distance to the lowest polymorph of the same formula, the calculation gives 0.0 meV/atom. The value obtained for the electronic total energy is -24.1 eV/f.u.

***

No. 6
First-principles (GGA-PBE) data for Ni7Ge2P2Pt after structural relaxation, as listed in Alexandria via LeMat-Bulk.

a b c (Å): 3.7625 3.7625 11.6057
angles (deg): 77.27 77.27 90.48
Element x y z (fractional)
Ge: 0.7617 0.7617 0.3276
Ni: 0.8855 0.3856 0.1668
Ni: 0.3856 0.8855 0.1668
Ge: 0.2383 0.2383 0.6724
P: 0.6932 0.6932 0.7222
Ni: 0.7356 0.7356 0.5305
Ni: 0.6144 0.1145 0.8332
Pt: 0.0000 0.0000 0.0000
Ni: 0.2644 0.2644 0.4695
P: 0.3068 0.3068 0.2778
Ni: 0.5000 0.5000 0.0000
Ni: 0.1145 0.6144 0.8332

## Properties
The calculation puts the formation energy at -128 meV per atom. The value obtained for the electronic total energy is -68.1 eV/f.u.

***

No. 7
First-principles (GGA-PBE) data for La4AlFe after structural relaxation, as listed in Alexandria via LeMat-Bulk.

a b c (Å): 6.3816 6.3816 6.3816
angles (deg): 60.00 60.00 60.00
Element x y z (fractional)
Al: 0.7500 0.7500 0.7500
La: 0.8740 0.3753 0.3753
La: 0.3753 0.8740 0.3753
Fe: 0.0000 0.0000 0.0000
La: 0.3753 0.3753 0.8740
La: 0.3753 0.3753 0.3753

## Properties
The calculation puts the formation energy at 651 meV per atom. For the distance to the lowest polymorph of the same formula, the calculation gives 736.3 meV/atom. The value obtained for the electronic total energy is -28.0 eV/f.u.

***

No. 8
First-principles (GGA-PBE) data for EuYLuMg after structural relaxation, as listed in Alexandria via LeMat-Bulk.

a b c (Å): 5.5743 5.5743 5.5743
angles (deg): 60.00 60.00 60.00
Element x y z (fractional)
Eu: 0.2500 0.2500 0.2500
Mg: 0.0000 0.0000 0.0000
Lu: 0.5000 0.5000 0.5000
Y: 0.7500 0.7500 0.7500

## Properties
The calculation puts the formation energy at 63 meV per atom. The value obtained for the electronic total energy is -22.6 eV/f.u.

***

No. 9
First-principles (GGA-PBE) data for CoHgSb2 after structural relaxation, as listed in Alexandria via LeMat-Bulk.

a b c (Å): 3.1053 3.1053 10.0819
angles (deg): 90.00 90.00 89.98
Element x y z (fractional)
Sb: 0.0000 0.0000 0.4132
Co: 0.5000 0.5000 0.2500
Sb: 0.0000 0.0000 0.0868
Hg: 0.5000 0.5000 0.7500

## Properties
Its raw formation energy is 0.05 eV/atom. The value obtained for the electronic total energy is -15.4 eV/f.u.

***

No. 10
First-principles (GGA-PBE) data for Cs3La3GaS8 after structural relaxation, as listed in Alexandria via LeMat-Bulk.

a b c (Å): 8.4300 8.4294 9.5010
angles (deg): 116.36 90.00 120.00
Element x y z (fractional)
Cs: 0.0000 0.5000 0.0000
S: 0.7292 0.4584 0.6873
S: 0.7947 0.5895 0.3304
La: 0.0000 0.5000 0.5000
La: 0.5000 0.5000 0.5000
S: 0.2064 0.9642 0.6705
S: 0.7578 0.9642 0.6705
S: 0.2708 0.5416 0.3127
Cs: 0.5000 0.5000 0.0000
Cs: 0.0000 0.0000 0.0000
La: 0.5000 0.0000 0.5000
S: 0.7936 0.0358 0.3295
S: 0.2053 0.4105 0.6696
S: 0.2422 0.0358 0.3295
Ga: 0.0000 0.0000 0.5000

## Properties
Its raw formation energy is -1.46 eV/atom. The value obtained for the electronic total energy is -75.3 eV/f.u.

***

No. 11
First-principles (GGA-PBE) data for AcSmSbPt after structural relaxation, as listed in Alexandria via LeMat-Bulk.

a b c (Å): 5.4293 5.4293 5.4293
angles (deg): 60.00 60.00 60.00
Element x y z (fractional)
Pt: 0.7500 0.7500 0.7500
Sb: 0.2500 0.2500 0.2500
Sm: 0.5000 0.5000 0.5000
Ac: 0.0000 0.0000 0.0000

## Properties
Its raw formation energy is -0.83 eV/atom. The value obtained for the electronic total energy is -22.3 eV/f.u.

***

No. 12
First-principles (GGA-PBE) data for FeCSe3 after structural relaxation, as listed in Alexandria via LeMat-Bulk.

a b c (Å): 4.6187 4.6187 4.6187
angles (deg): 90.00 90.00 90.00
Element x y z (fractional)
C: 0.5000 0.5000 0.5000
Fe: 0.0000 0.0000 0.0000
Se: 0.0000 0.5000 0.0000
Se: 0.0000 0.0000 0.5000
Se: 0.5000 0.0000 0.0000

## Properties
Its raw formation energy is 1.67 eV/atom. For the distance to the lowest polymorph of the same formula, the calculation gives 227.4 meV/atom. The value obtained for the electronic total energy is -19.8 eV/f.u.